This record from the Alexandria database describes a geometry-optimized NdDy4Sc7 structure. The functional is PBE-GGA.

The structure in CIF format:
```
data_NdDy4Sc7
_symmetry_space_group_name_H-M 'C 1 2/m 1'
_symmetry_Int_Tables_number 12
_cell_length_a 11.414
_cell_length_b 5.576
_cell_length_c 12.145
_cell_angle_alpha 90.00
_cell_angle_beta 117.45
_cell_angle_gamma 90.00
loop_
_symmetry_equiv_pos_as_xyz
'x,y,z'
'-x,-y,-z'
'-x,y,-z'
'x,-y,z'
'x+1/2,y+1/2,z'
'-x+1/2,-y+1/2,-z'
'-x+1/2,y+1/2,-z'
'x+1/2,-y+1/2,z'
loop_
_atom_site_label
_atom_site_fract_x
_atom_site_fract_y
_atom_site_fract_z
Nd1 0.000 0.000 0.000
Dy1 0.084 0.500 0.307
Dy2 0.143 0.000 0.775
Sc1 0.000 0.500 0.000
Sc2 0.126 0.000 0.486
Sc3 0.176 0.500 0.632
Sc4 0.209 0.500 0.919
```

Properties
- DOS(E_F): 47.1 states/eV per cell
- E: -128.61 eV/cell
- Energy of formation from the pure elements: 0.27 eV/atom



This record from the Alexandria database describes a geometry-optimized AcLa2Te3 structure. The functional is PBE-GGA.

The structure in CIF format:
```
data_AcLa2Te3
_symmetry_space_group_name_H-M 'I m m m'
_symmetry_Int_Tables_number 71
_symmetry_space_group_name_Hall '-I 2 2'
_cell_length_a 4.633
_cell_length_b 6.557
_cell_length_c 13.900
_cell_angle_alpha 90.00
_cell_angle_beta 90.00
_cell_angle_gamma 90.00
loop_
_atom_site_label
_atom_site_fract_x
_atom_site_fract_y
_atom_site_fract_z
Ac1 0.000 0.000 0.000
La1 0.000 0.000 0.336
Te1 0.000 0.500 0.000
Te2 0.000 0.500 0.328
```

Properties
- DOS(E_F): 8.4 states/eV per cell
- E: -65.45 eV/cell
- E_form (uncorrected): -1.56 eV/atom



This record from the Alexandria database describes a geometry-optimized CaNd2Pd4 structure. The functional is PBE-GGA.

The structure in CIF format:
```
data_CaNd2Pd4
_symmetry_space_group_name_H-M 'I 4/m m m'
_symmetry_Int_Tables_number 139
_symmetry_space_group_name_Hall '-I 4 2'
_cell_length_a 5.466
_cell_length_b 5.466
_cell_length_c 11.056
_cell_angle_alpha 90.00
_cell_angle_beta 90.00
_cell_angle_gamma 90.00
loop_
_atom_site_label
_atom_site_fract_x
_atom_site_fract_y
_atom_site_fract_z
Ca1 0.000 0.000 0.000
Nd1 0.000 0.000 0.315
Pd1 0.000 0.500 0.125
```

Properties
- DOS(E_F): 7.5 states/eV per cell
- E: -73.44 eV/cell
- Energy of formation from the pure elements: -0.63 eV/atom